# Rb2MgSiS4, optimized geometry, DFT PBE-GGA
data_Rb2MgSiS4
_chemical_formula_sum 'Rb16 Mg8 Si8 S32'
_symmetry_space_group_name_H-M 'F d d d'
_symmetry_Int_Tables_number 70
_cell_length_a 5.876
_cell_length_b 13.699
_cell_length_c 24.367
_cell_angle_alpha 90.00
_cell_angle_beta 90.00
_cell_angle_gamma 90.00
loop_
_symmetry_equiv_pos_as_xyz
'x,y,z'
'-x,-y,-z'
'-x+1/4,-y+1/4,z'
'x+1/4,y+1/4,-z'
'x,-y+1/4,-z+1/4'
'-x,y+1/4,z+1/4'
'-x+1/4,y,-z+1/4'
'x+1/4,-y,z+1/4'
'x,y+1/2,z+1/2'
'-x,-y+1/2,-z+1/2'
'-x+1/4,-y+3/4,z+1/2'
'x+1/4,y+3/4,-z+1/2'
'x,-y+3/4,-z+3/4'
'-x,y+3/4,z+3/4'
'-x+1/4,y+1/2,-z+3/4'
'x+1/4,-y+1/2,z+3/4'
'x+1/2,y,z+1/2'
'-x+1/2,-y,-z+1/2'
'-x+3/4,-y+1/4,z+1/2'
'x+3/4,y+1/4,-z+1/2'
'x+1/2,-y+1/4,-z+3/4'
'-x+1/2,y+1/4,z+3/4'
'-x+3/4,y,-z+3/4'
'x+3/4,-y,z+3/4'
'x+1/2,y+1/2,z'
'-x+1/2,-y+1/2,-z'
'-x+3/4,-y+3/4,z'
'x+3/4,y+3/4,-z'
'x+1/2,-y+3/4,-z+1/4'
'-x+1/2,y+3/4,z+1/4'
'-x+3/4,y+1/2,-z+1/4'
'x+3/4,-y+1/2,z+1/4'
loop_
_atom_site_label
_atom_site_fract_x
_atom_site_fract_y
_atom_site_fract_z
Rb1 0.125 0.125 0.304
Mg1 0.125 0.125 0.125
Si1 0.125 0.125 0.625
S1 0.089 0.283 0.825
# - ΔE_f (raw) (eV/atom) = -1.174

***

# BaMg4In2Ag, optimized geometry, DFT PBE-GGA
data_BaMg4In2Ag
_chemical_formula_sum 'Ba3 Mg12 In6 Ag3'
_symmetry_space_group_name_H-M 'R -3 m'
_symmetry_Int_Tables_number 166
_symmetry_space_group_name_Hall '-R 3 2"'
_cell_length_a 4.9472
_cell_length_b 4.9472
_cell_length_c 29.9363
_cell_angle_alpha 90.00
_cell_angle_beta 90.00
_cell_angle_gamma 120.00
loop_
_atom_site_label
_atom_site_fract_x
_atom_site_fract_y
_atom_site_fract_z
Ba1 0.0000 0.0000 0.0000
Mg1 0.0000 0.0000 0.1367
Mg2 0.0000 0.0000 0.4092
In1 0.0000 0.0000 0.2477
Ag1 0.0000 0.0000 0.5000
# - formation enthalpy at 0 K (eV per atom) = -0.178

***

# PaTeP, optimized geometry, DFT PBE-GGA
data_PaTeP
_chemical_formula_sum 'Pa2 Te2 P2'
_symmetry_space_group_name_H-M 'P -1'
_symmetry_Int_Tables_number 2
_cell_length_a 3.928
_cell_length_b 3.986
_cell_length_c 10.741
_cell_angle_alpha 100.55
_cell_angle_beta 100.46
_cell_angle_gamma 90.00
loop_
_symmetry_equiv_pos_as_xyz
'x,y,z'
'-x,-y,-z'
loop_
_atom_site_label
_atom_site_fract_x
_atom_site_fract_y
_atom_site_fract_z
Pa1 0.174 0.167 0.347
Te1 0.437 0.130 0.876
P1 0.307 0.319 0.616
# - ΔE_f (raw) (eV/atom) = -0.829

***

# EuGdAlZn, optimized geometry, DFT PBE-GGA
data_EuGdAlZn
_chemical_formula_sum 'Eu4 Gd4 Al4 Zn4'
_symmetry_space_group_name_H-M 'F -4 3 m'
_symmetry_Int_Tables_number 216
_symmetry_space_group_name_Hall 'F -4 2 3'
_cell_length_a 7.398
_cell_length_b 7.398
_cell_length_c 7.398
_cell_angle_alpha 90.00
_cell_angle_beta 90.00
_cell_angle_gamma 90.00
loop_
_atom_site_label
_atom_site_fract_x
_atom_site_fract_y
_atom_site_fract_z
Eu1 0.000 0.000 0.000
Gd1 0.000 0.000 0.500
Al1 0.250 0.250 0.750
Zn1 0.250 0.250 0.250
# - formation enthalpy at 0 K (eV per atom) = -0.287

***

# ScZn2Re, optimized geometry, DFT PBE-GGA
data_ScZn2Re
_chemical_formula_sum 'Sc1 Zn2 Re1'
_symmetry_space_group_name_H-M 'P 4 m m'
_symmetry_Int_Tables_number 99
_cell_length_a 3.357
_cell_length_b 3.357
_cell_length_c 5.845
_cell_angle_alpha 90.00
_cell_angle_beta 90.00
_cell_angle_gamma 90.00
loop_
_symmetry_equiv_pos_as_xyz
'x,y,z'
'-y,x,z'
'-x,-y,z'
'y,-x,z'
'-x,y,z'
'y,x,z'
'x,-y,z'
'-y,-x,z'
loop_
_atom_site_label
_atom_site_fract_x
_atom_site_fract_y
_atom_site_fract_z
Sc1 0.000 0.000 0.000
Zn1 0.000 0.000 0.529
Zn2 0.500 0.500 0.293
Re1 0.500 0.500 0.756
# - formation enthalpy at 0 K (eV per atom) = 0.094

***

# BaSb2Pb, optimized geometry, DFT PBE-GGA
data_BaSb2Pb
_chemical_formula_sum 'Ba1 Sb2 Pb1'
_symmetry_space_group_name_H-M 'P m m m'
_symmetry_Int_Tables_number 47
_cell_length_a 4.375
_cell_length_b 4.418
_cell_length_c 7.061
_cell_angle_alpha 90.00
_cell_angle_beta 90.00
_cell_angle_gamma 90.00
loop_
_symmetry_equiv_pos_as_xyz
'x,y,z'
'-x,-y,-z'
'-x,-y,z'
'x,y,-z'
'x,-y,-z'
'-x,y,z'
'-x,y,-z'
'x,-y,z'
loop_
_atom_site_label
_atom_site_fract_x
_atom_site_fract_y
_atom_site_fract_z
Ba1 0.000 0.000 0.000
Sb1 0.500 0.500 0.290
Pb1 0.000 0.000 0.500
# - ΔE_f (raw) (eV/atom) = -0.429

***

# Zr3NbCo, optimized geometry, DFT PBE-GGA
data_Zr3NbCo
_chemical_formula_sum 'Zr3 Nb1 Co1'
_symmetry_space_group_name_H-M 'P m -3 m'
_symmetry_Int_Tables_number 221
_symmetry_space_group_name_Hall '-P 4 2 3'
_cell_length_a 5.020
_cell_length_b 5.020
_cell_length_c 5.020
_cell_angle_alpha 90.00
_cell_angle_beta 90.00
_cell_angle_gamma 90.00
loop_
_atom_site_label
_atom_site_fract_x
_atom_site_fract_y
_atom_site_fract_z
Zr1 0.000 0.000 0.500
Nb1 0.000 0.000 0.000
Co1 0.500 0.500 0.500
# - formation enthalpy at 0 K (eV per atom) = 1.338

***

# Dy2YAu3, optimized geometry, DFT PBE-GGA
data_Dy2YAu3
_chemical_formula_sum 'Dy2 Y1 Au3'
_symmetry_space_group_name_H-M 'P 4/m m m'
_symmetry_Int_Tables_number 123
_symmetry_space_group_name_Hall '-P 4 2'
_cell_length_a 3.583
_cell_length_b 3.583
_cell_length_c 10.908
_cell_angle_alpha 90.00
_cell_angle_beta 90.00
_cell_angle_gamma 90.00
loop_
_atom_site_label
_atom_site_fract_x
_atom_site_fract_y
_atom_site_fract_z
Dy1 0.000 0.000 0.166
Y1 0.000 0.000 0.500
Au1 0.500 0.500 0.000
Au2 0.500 0.500 0.332
# - formation enthalpy at 0 K (eV per atom) = -0.865

***

# Ac2TlAgS5, optimized geometry, DFT PBE-GGA
data_Ac2TlAgS5
_chemical_formula_sum 'Ac8 Tl4 Ag4 S20'
_symmetry_space_group_name_H-M 'C m c 21'
_symmetry_Int_Tables_number 36
_cell_length_a 4.209
_cell_length_b 17.853
_cell_length_c 11.978
_cell_angle_alpha 90.00
_cell_angle_beta 90.00
_cell_angle_gamma 90.00
loop_
_symmetry_equiv_pos_as_xyz
'x,y,z'
'-x,-y,z+1/2'
'-x,y,z'
'x,-y,z+1/2'
'x+1/2,y+1/2,z'
'-x+1/2,-y+1/2,z+1/2'
'-x+1/2,y+1/2,z'
'x+1/2,-y+1/2,z+1/2'
loop_
_atom_site_label
_atom_site_fract_x
_atom_site_fract_y
_atom_site_fract_z
Ac1 0.000 0.125 0.000
Ac2 0.000 0.127 0.620
Tl1 0.000 0.422 0.785
Ag1 0.000 0.234 0.362
S1 0.000 0.037 0.391
S2 0.000 0.299 0.979
S3 0.000 0.306 0.656
S4 0.000 0.369 0.311
S5 0.000 0.495 0.592
# - ΔE_f (raw) (eV/atom) = -1.238

***

# Ac12SmCo7, optimized geometry, DFT PBE-GGA
data_Ac12SmCo7
_chemical_formula_sum 'Ac36 Sm3 Co21'
_symmetry_space_group_name_H-M 'R -3'
_symmetry_Int_Tables_number 148
_symmetry_space_group_name_Hall '-R 3'
_cell_length_a 14.9134
_cell_length_b 14.9134
_cell_length_c 10.1636
_cell_angle_alpha 90.00
_cell_angle_beta 90.00
_cell_angle_gamma 120.00
loop_
_atom_site_label
_atom_site_fract_x
_atom_site_fract_y
_atom_site_fract_z
Ac1 0.0258 0.5852 0.1602
Ac2 0.0476 0.1698 0.8254
Sm1 0.0000 0.0000 0.5000
Co1 0.0000 0.0000 0.0000
Co2 0.0444 0.1855 0.3359
# - formation enthalpy at 0 K (eV per atom) = -0.016

***

# KSb2As2, optimized geometry, DFT PBE-GGA
data_KSb2As2
_chemical_formula_sum 'K2 Sb4 As4'
_symmetry_space_group_name_H-M 'I 4/m m m'
_symmetry_Int_Tables_number 139
_symmetry_space_group_name_Hall '-I 4 2'
_cell_length_a 5.334
_cell_length_b 5.334
_cell_length_c 10.910
_cell_angle_alpha 90.00
_cell_angle_beta 90.00
_cell_angle_gamma 90.00
loop_
_atom_site_label
_atom_site_fract_x
_atom_site_fract_y
_atom_site_fract_z
K1 0.000 0.000 0.000
Sb1 0.000 0.000 0.341
As1 0.000 0.500 0.250
# - ΔE_f (raw) (eV/atom) = -0.142

***

# CaReAs2Br, optimized geometry, DFT PBE-GGA
data_CaReAs2Br
_chemical_formula_sum 'Ca1 Re1 As2 Br1'
_symmetry_space_group_name_H-M 'P 4/m m m'
_symmetry_Int_Tables_number 123
_symmetry_space_group_name_Hall '-P 4 2'
_cell_length_a 4.779
_cell_length_b 4.779
_cell_length_c 5.568
_cell_angle_alpha 90.00
_cell_angle_beta 90.00
_cell_angle_gamma 90.00
loop_
_atom_site_label
_atom_site_fract_x
_atom_site_fract_y
_atom_site_fract_z
Ca1 0.000 0.000 0.000
Re1 0.500 0.500 0.500
As1 0.000 0.500 0.500
Br1 0.500 0.500 0.000
# - ΔE_f (raw) (eV/atom) = -0.086

***

# RbNaSrGe2, optimized geometry, DFT PBE-GGA
data_RbNaSrGe2
_chemical_formula_sum 'Rb1 Na1 Sr1 Ge2'
_symmetry_space_group_name_H-M 'P 4/m m m'
_symmetry_Int_Tables_number 123
_symmetry_space_group_name_Hall '-P 4 2'
_cell_length_a 5.886
_cell_length_b 5.886
_cell_length_c 5.385
_cell_angle_alpha 90.00
_cell_angle_beta 90.00
_cell_angle_gamma 90.00
loop_
_atom_site_label
_atom_site_fract_x
_atom_site_fract_y
_atom_site_fract_z
Rb1 0.000 0.000 0.000
Na1 0.000 0.000 0.500
Sr1 0.500 0.500 0.500
Ge1 0.000 0.500 0.000
# - formation enthalpy at 0 K (eV per atom) = 0.665